(1)
Material: HfScAl
Method: DFT, GGA-PBE
State: optimized geometry

Cell: 2.9000 4.8713 4.8713 Å, 120.00 90.00 90.00°
With the nearest neighbours (Å) after each atom.
Element x y z (fractional)
Sc (0.1663, 0.0000, 0.0000)  3 Hf 2.81, 2 Sc 2.90
Al (0.6666, 0.6667, 0.3333)  2 Al 2.90, 6 Hf 3.16, 6 Sc 3.16
Hf (0.1671, 0.3333, 0.6667)  3 Sc 2.81, 2 Hf 2.90

Density of states at the Fermi level, states/eV/f.u.: 3.78
Excess energy over the best structure of this formula in the dataset, meV/atom: 264.5
Energy of formation from the pure elements, meV/atom: -16.7


(2)
Material: HfScAl6
Method: DFT, GGA-PBE
State: optimized geometry

Cell: 4.0960 4.0960 8.1960 Å, 90.00 90.00 90.00°
With the nearest neighbours (Å) after each atom.
Element x y z (fractional)
Al (0.5000, 0.5000, 0.0000)  4 Sc 2.90, 8 Al 2.90
Al (0.5000, 0.0000, 0.2504)  8 Al 2.89-2.90, 2 Hf 2.89, 2 Sc 2.90
Al (0.0000, 0.5000, 0.7496)  2 Hf 2.89, 8 Al 2.89-2.90, 2 Sc 2.90
Al (0.5000, 0.0000, 0.7496)  8 Al 2.89-2.90, 2 Hf 2.89, 2 Sc 2.90
Al (0.0000, 0.5000, 0.2504)  2 Hf 2.89, 8 Al 2.89-2.90, 2 Sc 2.90
Al (0.5000, 0.5000, 0.5000)  8 Al 2.89, 4 Hf 2.90
Hf (0.0000, 0.0000, 0.5000)  12 Al 2.89-2.90
Sc (0.0000, 0.0000, 0.0000)  12 Al 2.90

Density of states at the Fermi level, states/eV/f.u.: 5.48
Energy of formation from the pure elements, meV/atom: -412.2


(3)
Material: HfScAl2
Method: DFT, GGA-PBE
State: optimized geometry

Cell: 4.0672 4.3239 4.3239 Å, 90.00 90.00 90.00°
With the nearest neighbours (Å) after each atom.
Element x y z (fractional)
Al (0.0000, 0.5000, 0.0000)  4 Sc 2.97, 4 Hf 2.97, 4 Al 3.06
Al (0.0000, 0.0000, 0.5000)  4 Hf 2.97, 4 Sc 2.97, 4 Al 3.06
Sc (0.5000, 0.0000, 0.0000)  8 Al 2.97, 4 Hf 3.06
Hf (0.5000, 0.5000, 0.5000)  8 Al 2.97, 4 Sc 3.06

Density of states at the Fermi level, states/eV/f.u.: 3.23
Energy of formation from the pure elements, meV/atom: -364.9


(4)
Material: Hf3ScAl2
Method: DFT, GGA-PBE
State: optimized geometry

Cell: 3.1138 8.3017 18.9921 Å, 90.00 90.00 90.00°
With the nearest neighbours (Å) after each atom.
Element x y z (fractional)
Hf (0.7500, 0.7443, 0.1846)  5 Hf 2.87-3.11, 2 Sc 2.96, 4 Al 3.09-3.10
Hf (0.7500, 0.1207, 0.9418)  3 Al 2.92-3.00, 6 Hf 3.07-3.26, 2 Sc 3.25
Hf (0.7500, 0.0349, 0.4353)  5 Hf 2.87-3.11, 5 Al 2.90-3.12
Hf (0.2500, 0.3793, 0.4418)  3 Al 2.92-3.00, 6 Hf 3.07-3.26, 2 Sc 3.25
Hf (0.2500, 0.7557, 0.6846)  5 Hf 2.87-3.11, 2 Sc 2.96, 4 Al 3.09-3.10
Hf (0.2500, 0.2557, 0.8154)  5 Hf 2.87-3.11, 2 Sc 2.96, 4 Al 3.09-3.10
Hf (0.2500, 0.9651, 0.5647)  5 Hf 2.87-3.11, 5 Al 2.90-3.12
Hf (0.7500, 0.2443, 0.3154)  5 Hf 2.87-3.11, 2 Sc 2.96, 4 Al 3.09-3.10
Hf (0.2500, 0.4651, 0.9353)  5 Hf 2.87-3.11, 5 Al 2.90-3.12
Hf (0.2500, 0.8793, 0.0582)  3 Al 2.92-3.00, 6 Hf 3.07-3.26, 2 Sc 3.25
Hf (0.7500, 0.6207, 0.5582)  3 Al 2.92-3.00, 6 Hf 3.07-3.26, 2 Sc 3.25
Hf (0.7500, 0.5349, 0.0647)  5 Hf 2.87-3.11, 5 Al 2.90-3.12
Al (0.2500, 0.7401, 0.4388)  2 Sc 2.88, 6 Hf 2.90-3.03, 3 Al 3.02-3.11
Al (0.7500, 0.0768, 0.6986)  3 Al 3.02-3.11, 6 Hf 3.09-3.12, 4 Sc 3.14-3.25
Al (0.2500, 0.2401, 0.0612)  2 Sc 2.88, 6 Hf 2.90-3.03, 3 Al 3.02-3.11
Al (0.7500, 0.2599, 0.5612)  2 Sc 2.88, 6 Hf 2.90-3.03, 3 Al 3.02-3.11
Al (0.2500, 0.4232, 0.1986)  3 Al 3.02-3.11, 6 Hf 3.09-3.12, 4 Sc 3.14-3.25
Al (0.2500, 0.9232, 0.3014)  3 Al 3.02-3.11, 6 Hf 3.09-3.12, 4 Sc 3.14-3.25
Al (0.7500, 0.5768, 0.8014)  3 Al 3.02-3.11, 6 Hf 3.09-3.12, 4 Sc 3.14-3.25
Al (0.7500, 0.7599, 0.9388)  2 Sc 2.88, 6 Hf 2.90-3.03, 3 Al 3.02-3.11
Sc (0.7500, 0.6002, 0.3270)  4 Al 2.88-3.14, 2 Hf 2.96, 2 Sc 3.11
Sc (0.2500, 0.8998, 0.8270)  4 Al 2.88-3.14, 2 Hf 2.96, 2 Sc 3.11
Sc (0.7500, 0.1002, 0.1730)  4 Al 2.88-3.14, 2 Hf 2.96, 2 Sc 3.11
Sc (0.2500, 0.3998, 0.6730)  4 Al 2.88-3.14, 2 Hf 2.96, 2 Sc 3.11

Density of states at the Fermi level, states/eV/f.u.: 4.99
Energy of formation from the pure elements, meV/atom: -211.4